DFT (GGA-PBE) results for Ac2Si3Ni2 after structural relaxation.

Lattice parameters (Å, degrees): 3.9056 6.0963 7.3448 122.27 90.00 108.68
Last column: nearest neighbours and their distance in Å.
Fractional positions:
Ac: 0.1346 0.2691 0.7640  4 Ni 3.10-3.38, 5 Si 3.24-3.45, 1 Ac 3.33
Ac: 0.8654 0.7309 0.2360  4 Ni 3.10-3.38, 5 Si 3.24-3.45, 1 Ac 3.33
Si: 0.3442 0.6883 0.5676  3 Ni 2.38-2.41, 1 Si 2.62
Si: 0.5000 0.0000 0.0000  4 Ni 2.42, 2 Si 2.62
Si: 0.6558 0.3117 0.4324  3 Ni 2.38-2.41, 1 Si 2.62
Ni: 0.1265 0.2530 0.2169  5 Si 2.38-2.42
Ni: 0.8735 0.7470 0.7831  5 Si 2.38-2.42

Properties
DOS at the Fermi energy = 3.462 states/eV per cell
Energy above the most stable polymorph in this dataset = 0.000 eV/atom
Space group = No. 12
VASP energy = -5.643 eV/atom
Spin magnetization = 0.00 μB per formula unit
Formation energy without anion corrections = -3.45 eV/f.u.